Record 1
# GGA-PBE Sr3In2Sn9, relaxed
# Uncorrected energy in eV/f.u.: -50.60
# Energy relative to the elements in eV per atom: -0.289
# V in Å³/cell: 429.3
# Size of the total moment in μB per cell: 0.0
data_Sr3In2Sn9
_symmetry_space_group_name_H-M 'P 1'
_symmetry_Int_Tables_number 1
_cell_length_a 9.4433
_cell_length_b 9.4433
_cell_length_c 9.4433
_cell_angle_alpha 147.55
_cell_angle_beta 102.19
_cell_angle_gamma 86.84
loop_
_symmetry_equiv_pos_as_xyz
'x,y,z'
loop_
_atom_site_label
_atom_site_type_symbol
_atom_site_fract_x
_atom_site_fract_y
_atom_site_fract_z
Sr1 Sr 0.0000 0.0000 0.0000
Sr2 Sr 0.2985 0.2985 0.0000
Sr3 Sr 0.7015 0.7015 0.0000
In1 In 0.3285 0.5000 0.8285
In2 In 0.6715 0.5000 0.1715
Sn1 Sn 0.0159 0.6469 0.3689
Sn2 Sn 0.1302 0.8550 0.2752
Sn3 Sn 0.2780 0.6469 0.6311
Sn4 Sn 0.4202 0.1450 0.2752
Sn5 Sn 0.5000 0.0000 0.5000
Sn6 Sn 0.5798 0.8550 0.7248
Sn7 Sn 0.7220 0.3531 0.3689
Sn8 Sn 0.8698 0.1450 0.7248
Sn9 Sn 0.9841 0.3531 0.6311

Record 2
# GGA-PBE Sr4InSn, relaxed
# Offset from the most stable computed form in eV per atom: 0.045
# Uncorrected energy in eV/f.u.: -15.62
# Energy relative to the elements in eV per atom: -0.359
# V in Å³/cell: 254.2
# Size of the total moment in μB per cell: 0.6
data_Sr4InSn
_symmetry_space_group_name_H-M 'P 1'
_symmetry_Int_Tables_number 1
_cell_length_a 5.6349
_cell_length_b 5.6349
_cell_length_c 9.8118
_cell_angle_alpha 106.76
_cell_angle_beta 106.76
_cell_angle_gamma 59.92
loop_
_symmetry_equiv_pos_as_xyz
'x,y,z'
loop_
_atom_site_label
_atom_site_type_symbol
_atom_site_fract_x
_atom_site_fract_y
_atom_site_fract_z
Sr1 Sr 0.1233 0.1233 0.3701
Sr2 Sr 0.2915 0.2915 0.8748
Sr3 Sr 0.7085 0.7085 0.1252
Sr4 Sr 0.8767 0.8767 0.6299
In1 In 0.5000 0.5000 0.5000
Sn1 Sn 0.0000 0.0000 0.0000

Record 3
# GGA-PBE Sr6In5Sn, relaxed
# Uncorrected energy in eV/f.u.: -33.36
# Energy relative to the elements in eV per atom: -0.465
# V in Å³/cell: 403.6
# Size of the total moment in μB per cell: 0.0
data_Sr6In5Sn
_symmetry_space_group_name_H-M 'P 1'
_symmetry_Int_Tables_number 1
_cell_length_a 9.1075
_cell_length_b 9.1075
_cell_length_c 8.1348
_cell_angle_alpha 90.00
_cell_angle_beta 90.00
_cell_angle_gamma 143.26
loop_
_symmetry_equiv_pos_as_xyz
'x,y,z'
loop_
_atom_site_label
_atom_site_type_symbol
_atom_site_fract_x
_atom_site_fract_y
_atom_site_fract_z
Sr1 Sr 0.0000 0.0000 0.2452
Sr2 Sr 0.0000 0.0000 0.7548
Sr3 Sr 0.3354 0.6646 0.2498
Sr4 Sr 0.3354 0.6646 0.7502
Sr5 Sr 0.6646 0.3354 0.2498
Sr6 Sr 0.6646 0.3354 0.7502
In1 In 0.1679 0.8321 0.5000
In2 In 0.1740 0.8260 0.0000
In3 In 0.5000 0.5000 0.5000
In4 In 0.8260 0.1740 0.0000
In5 In 0.8321 0.1679 0.5000
Sn1 Sn 0.5000 0.5000 0.0000

Number 2 is which compound?
Sr4InSn